Computed, not measured: Th12Co3H5 after structural relaxation at the PBE level of DFT.

a b c (Å): 13.1959 13.1959 13.1959
angles (deg): 109.47 109.47 109.47
Last column: nearest neighbours and their distance in Å.
Sites, in units of the cell vectors:
Th  0.0327  0.2203  0.1185  1 H 2.27
Th  0.0327  0.3124  0.9142  1 H 2.27
Th  0.0858  0.6185  0.3982  1 H 2.27
Th  0.0858  0.9673  0.6876  1 H 2.27
Th  0.1018  0.7203  0.6876  1 H 2.27
Th  0.1018  0.8815  0.4142  1 H 2.27
Th  0.1185  0.0327  0.2203  1 H 2.27
Th  0.1185  0.5858  0.8982  1 H 2.27
Th  0.1876  0.2203  0.6018  1 H 2.27
Th  0.1876  0.4673  0.5858  1 H 2.27
Th  0.2203  0.1185  0.0327  1 H 2.27
Th  0.2203  0.6018  0.1876  1 H 2.27
Th  0.2797  0.3124  0.8982  1 H 2.27
Th  0.2797  0.4673  0.3815  1 H 2.27
Th  0.3124  0.8982  0.2797  1 H 2.27
Th  0.3124  0.9142  0.0327  1 H 2.27
Th  0.3815  0.2797  0.4673  1 H 2.27
Th  0.3815  0.6018  0.9142  1 H 2.27
Th  0.3982  0.0858  0.6185  1 H 2.27
Th  0.3982  0.8124  0.7797  1 H 2.27
Th  0.4142  0.1018  0.8815  1 H 2.27
Th  0.4142  0.8124  0.5327  1 H 2.27
Th  0.4673  0.3815  0.2797  1 H 2.27
Th  0.4673  0.5858  0.1876  1 H 2.27
Th  0.5327  0.4142  0.8124  1 H 2.27
Th  0.5327  0.6185  0.7203  1 H 2.27
Th  0.5858  0.1876  0.4673  1 H 2.27
Th  0.5858  0.8982  0.1185  1 H 2.27
Th  0.6018  0.1876  0.2203  1 H 2.27
Th  0.6018  0.9142  0.3815  1 H 2.27
Th  0.6185  0.3982  0.0858  1 H 2.27
Th  0.6185  0.7203  0.5327  1 H 2.27
Th  0.6876  0.0858  0.9673  1 H 2.27
Th  0.6876  0.1018  0.7203  1 H 2.27
Th  0.7203  0.5327  0.6185  1 H 2.27
Th  0.7203  0.6876  0.1018  1 H 2.27
Th  0.7797  0.3982  0.8124  1 H 2.27
Th  0.7797  0.8815  0.9673  1 H 2.27
Th  0.8124  0.5327  0.4142  1 H 2.27
Th  0.8124  0.7797  0.3982  1 H 2.27
Th  0.8815  0.4142  0.1018  1 H 2.27
Th  0.8815  0.9673  0.7797  1 H 2.27
Th  0.8982  0.1185  0.5858  1 H 2.27
Th  0.8982  0.2797  0.3124  1 H 2.27
Th  0.9142  0.0327  0.3124  1 H 2.27
Th  0.9142  0.3815  0.6018  1 H 2.27
Th  0.9673  0.6876  0.0858  1 H 2.27
Th  0.9673  0.7797  0.8815  1 H 2.27
Co  0.1250  0.2500  0.3750  8 Th 2.87-3.02
Co  0.1250  0.3750  0.7500  8 Th 2.87-3.02
Co  0.2500  0.3750  0.1250  8 Th 2.87-3.02
Co  0.2500  0.8750  0.6250  8 Th 2.87-3.02
Co  0.3750  0.1250  0.2500  8 Th 2.87-3.02
Co  0.3750  0.7500  0.1250  8 Th 2.87-3.02
Co  0.6250  0.2500  0.8750  8 Th 2.87-3.02
Co  0.6250  0.8750  0.7500  8 Th 2.87-3.02
Co  0.7500  0.1250  0.3750  8 Th 2.87-3.02
Co  0.7500  0.6250  0.8750  8 Th 2.87-3.02
Co  0.8750  0.6250  0.2500  8 Th 2.87-3.02
Co  0.8750  0.7500  0.6250  8 Th 2.87-3.02
H  0.0000  0.0000  0.0000  6 Th 2.60
H  0.0000  0.0000  0.5000  6 Th 2.60
H  0.0000  0.5000  0.0000  6 Th 2.60
H  0.0000  0.5000  0.5000  6 Th 2.60
H  0.1250  0.7500  0.8750  4 Th 2.27
H  0.1250  0.8750  0.2500  4 Th 2.27
H  0.2500  0.1250  0.8750  4 Th 2.27
H  0.2500  0.6250  0.3750  4 Th 2.27
H  0.3750  0.2500  0.6250  4 Th 2.27
H  0.3750  0.6250  0.7500  4 Th 2.27
H  0.5000  0.0000  0.0000  6 Th 2.60
H  0.5000  0.0000  0.5000  6 Th 2.60
H  0.5000  0.5000  0.0000  6 Th 2.60
H  0.5000  0.5000  0.5000  6 Th 2.60
H  0.6250  0.3750  0.2500  4 Th 2.27
H  0.6250  0.7500  0.3750  4 Th 2.27
H  0.7500  0.3750  0.6250  4 Th 2.27
H  0.7500  0.8750  0.1250  4 Th 2.27
H  0.8750  0.1250  0.7500  4 Th 2.27
H  0.8750  0.2500  0.1250  4 Th 2.27

Calculated values
* SG: Ia-3d, No. 230
* total DFT energy (no corrections): -6.447 eV/atom